Record 1
Material: SiTcI2O
Method: DFT, PBEsol
State: relaxed

Cell: 5.440 5.440 3.693 Å, 90.00 90.00 90.00°
Atoms (fractional coordinates):
Si 0.000 0.000 0.000
Tc 0.500 0.500 0.500
I 0.000 0.500 0.500
I 0.500 0.000 0.500
O 0.500 0.500 0.000

Computed properties:
**Space group**: P4/mmm

***

Record 2
Material: SiTeIO2
Method: DFT, PBEsol
State: relaxed

Cell: 4.056 4.056 6.614 Å, 90.00 90.00 90.00°
Atoms (fractional coordinates):
Si 0.000 0.000 0.000
Te 0.500 0.500 0.500
I 0.500 0.500 0.000
O 0.000 0.500 0.500
O 0.500 0.000 0.500

Computed properties:
**Space group**: P4/mmm

***

Record 3
Material: TlSiI2O
Method: DFT, PBEsol
State: relaxed

Cell: 5.985 5.985 4.019 Å, 90.00 90.00 90.00°
Atoms (fractional coordinates):
Tl 0.000 0.000 0.000
Si 0.500 0.500 0.500
I 0.000 0.500 0.000
I 0.500 0.000 0.000
O 0.000 0.000 0.500

Computed properties:
**Space group**: P4/mmm

***

Record 4
Material: SmI3O9
Method: DFT, PBEsol
State: relaxed

Cell: 7.185 8.294 13.332 Å, 90.00 101.24 90.00°
Atoms (fractional coordinates):
Sm 0.179 0.243 0.146
Sm 0.179 0.257 0.646
Sm 0.821 0.743 0.354
Sm 0.821 0.757 0.854
I 0.179 0.718 0.115
I 0.179 0.782 0.615
I 0.271 0.008 0.890
I 0.271 0.492 0.390
I 0.333 0.538 0.864
I 0.333 0.962 0.364
I 0.667 0.038 0.636
I 0.667 0.462 0.136
I 0.729 0.508 0.610
I 0.729 0.992 0.110
I 0.821 0.218 0.385
I 0.821 0.282 0.885
O 0.015 0.516 0.379
O 0.015 0.984 0.879
O 0.031 0.176 0.482
O 0.031 0.324 0.982
O 0.144 0.689 0.827
O 0.144 0.811 0.327
O 0.172 0.533 0.189
O 0.172 0.967 0.689
O 0.258 0.209 0.830
O 0.258 0.291 0.330
O 0.318 0.053 0.027
O 0.318 0.447 0.527
O 0.350 0.026 0.235
O 0.350 0.474 0.735
O 0.363 0.659 0.045
O 0.363 0.841 0.545
O 0.474 0.180 0.624
O 0.474 0.320 0.124
O 0.526 0.680 0.876
O 0.526 0.820 0.376
O 0.637 0.159 0.455
O 0.637 0.341 0.955
O 0.650 0.526 0.265
O 0.650 0.974 0.765
O 0.682 0.553 0.473
O 0.682 0.947 0.973
O 0.742 0.709 0.670
O 0.742 0.791 0.170
O 0.828 0.033 0.311
O 0.828 0.467 0.811
O 0.856 0.189 0.673
O 0.856 0.311 0.173
O 0.969 0.676 0.018
O 0.969 0.824 0.518
O 0.985 0.016 0.121
O 0.985 0.484 0.621

Computed properties:
**Space group**: P2_1/c

***

Record 5
Material: SmV2IO9
Method: DFT, PBEsol
State: relaxed

Cell: 6.920 14.312 7.144 Å, 90.00 90.00 90.00°
Atoms (fractional coordinates):
Sm 0.145 0.045 0.250
Sm 0.145 0.455 0.750
Sm 0.855 0.545 0.250
Sm 0.855 0.955 0.750
V 0.179 0.729 0.750
V 0.179 0.771 0.250
V 0.458 0.250 0.000
V 0.458 0.250 0.500
V 0.542 0.750 0.000
V 0.542 0.750 0.500
V 0.821 0.229 0.750
V 0.821 0.271 0.250
I 0.298 0.056 0.750
I 0.298 0.444 0.250
I 0.702 0.556 0.750
I 0.702 0.944 0.250
O 0.009 0.692 0.250
O 0.009 0.808 0.750
O 0.075 0.624 0.750
O 0.075 0.876 0.250
O 0.172 0.513 0.069
O 0.172 0.513 0.431
O 0.172 0.987 0.569
O 0.172 0.987 0.931
O 0.262 0.750 0.000
O 0.262 0.750 0.500
O 0.322 0.157 0.045
O 0.322 0.157 0.455
O 0.322 0.343 0.545
O 0.322 0.343 0.955
O 0.468 0.501 0.750
O 0.468 0.999 0.250
O 0.474 0.719 0.750
O 0.474 0.781 0.250
O 0.526 0.219 0.750
O 0.526 0.281 0.250
O 0.532 0.001 0.750
O 0.532 0.499 0.250
O 0.678 0.657 0.045
O 0.678 0.657 0.455
O 0.678 0.843 0.545
O 0.678 0.843 0.955
O 0.738 0.250 0.000
O 0.738 0.250 0.500
O 0.828 0.013 0.069
O 0.828 0.013 0.431
O 0.828 0.487 0.569
O 0.828 0.487 0.931
O 0.925 0.124 0.750
O 0.925 0.376 0.250
O 0.991 0.192 0.250
O 0.991 0.308 0.750

Computed properties:
**Space group**: Pbcm

***

Record 6
Material: SrSnI2O
Method: DFT, PBEsol
State: relaxed

Cell: 6.260 6.260 4.251 Å, 90.00 90.00 90.00°
Atoms (fractional coordinates):
Sr 0.000 0.000 0.000
Sn 0.500 0.500 0.500
I 0.000 0.500 0.000
I 0.500 0.000 0.000
O 0.000 0.000 0.500

Computed properties:
**Space group**: P4/mmm

***

Computed electronic total energy (eV per cell) in order:
-25.5, -21.2, -15.2, -283.3, -402.4, -18.2
Computed volume (Å³ per cell) in order:
109.3, 108.8, 144.0, 779.2, 707.5, 166.6